(1)
DFT (PBE-GGA) results for Pm6Sb3TeAs2 after structural relaxation.

```
12
Lattice="9.592 -2.198 0.000 9.592 2.198 0.000 -2.020 0.000 8.606" Properties=species:S:1:pos:R:3 pbc="T T T"
Pm -0.399 0.000 2.230
Pm 5.457 0.000 3.661
Pm 4.492 0.000 7.764
Pm 12.671 0.000 0.843
Pm 11.706 0.000 4.946
Pm 17.562 0.000 6.377
Sb 1.447 0.000 7.167
Sb 8.582 0.000 4.303
Sb 15.716 0.000 1.439
Te 9.592 0.000 0.000
As 2.546 0.000 2.876
As 14.617 0.000 5.730
```

Properties
* E_form (uncorrected): -1.35 eV per atom
* SG: No. 12
* crystal system: monoclinic

***

(2)
DFT (PBE-GGA) results for Sm12Y2In after structural relaxation.

```
30
Lattice="3.630 -5.738 0.000 3.630 5.738 0.000 0.000 0.000 24.388" Properties=species:S:1:pos:R:3 pbc="T T T"
Sm 1.824 2.869 2.939
Sm 3.630 5.728 22.640
Sm 1.953 2.869 14.339
Sm 3.630 5.463 10.704
Sm 1.815 0.000 4.752
Sm 1.815 0.000 7.880
Sm 1.815 0.000 16.508
Sm 1.815 0.000 19.636
Sm 3.630 0.276 10.704
Sm 5.306 2.869 14.339
Sm 3.630 0.010 22.640
Sm 5.435 2.869 2.939
Sm 1.824 -2.869 21.449
Sm 3.630 -0.010 1.749
Sm 1.953 -2.869 10.050
Sm 3.630 -0.276 13.685
Sm 5.445 0.000 4.752
Sm 5.445 0.000 7.880
Sm 5.445 0.000 16.508
Sm 5.445 0.000 19.636
Sm 3.630 -5.463 13.685
Sm 5.306 -2.869 10.050
Sm 3.630 -5.728 1.749
Sm 5.435 -2.869 21.449
Y 3.630 2.869 6.455
Y 3.630 2.869 18.034
Y 3.630 -2.869 6.355
Y 3.630 -2.869 17.933
In 3.630 2.869 0.005
In 3.630 -2.869 24.383
```

Properties
* formation energy: 0.090 eV per atom
* SG: No. 67
* crystal system: orthorhombic

***

Q: Which formula does entry 2 have?
A: Sm12Y2In

***

Q: Which formula does entry 1 have?
A: Pm6Sb3TeAs2